Ba2NiHN (PBE, relaxed); electronic total energy = -0.3372 Ry per atom; total moment = 0.000 μB/atom; calculated density = 5.131 g/cm3
1.0
5.6080 0.0000 0.0000
0.0000 5.6080 0.0000
0.0000 0.0000 3.5844
Ni Ba H N
1 2 1 1
Direct
0.0000 0.0000 0.5000
0.0000 0.5000 0.0000
0.5000 0.0000 0.0000
0.5000 0.5000 0.5000
0.0000 0.0000 0.0000